(1)
Material: CoAg2Mo
Method: DFT, PBE
State: optimized geometry

a b c (Å): 2.783 2.783 7.993
angles (deg): 90.00 90.00 90.10
Fractional coordinates of all 4 atoms:
1 Ag 0.000 0.000 0.995
2 Ag 0.500 0.500 0.274
3 Co 0.000 0.000 0.519
4 Mo 0.500 0.500 0.713

Results
As for the total energy: -5.63 eV/atom. For the energy of formation from the pure elements, the calculation gives 0.2790 eV per atom. As for the density of states at the Fermi level: 3.8 states/eV/cell.

---

(2)
Material: Er6ZnCo
Method: DFT, PBE
State: optimized geometry

a b c (Å): 6.480 6.480 6.450
angles (deg): 101.14 101.14 117.47
Fractional coordinates of all 8 atoms:
1 Er 0.267 0.267 0.734
2 Er 0.461 0.092 0.256
3 Er 0.733 0.733 0.266
4 Er 0.908 0.539 0.744
5 Er 0.539 0.908 0.744
6 Er 0.092 0.461 0.256
7 Zn 0.000 0.000 0.000
8 Co 0.500 0.500 0.500

Results
As for the total energy: -4.46 eV/atom. For the energy of formation from the pure elements, the calculation gives 0.0080 eV per atom. As for the density of states at the Fermi level: 10.5 states/eV/cell.

---

> Which value of energy of formation from the pure elements does entry 2 give?

0.0080 eV per atom